Y2CdAgIr | PBE | optimized geometry

As for the energy of formation from the pure elements: -0.0959 eV per atom.

The space group is P4/mmm (No. 123) and the conventional cell measures 5.263, 5.263 and 5.212 Å, with angles of 90.00, 90.00 and 90.00 degrees. Symmetry generates all atoms from Y at (0.000, 0.500, 0.000), Cd at (0.000, 0.000, 0.500), Ag at (0.500, 0.500, 0.500) and Ir at (0.500, 0.500, 0.000).


AlSiTe2 | PBE | optimized geometry

The distance to the lowest polymorph of the same formula comes out at 388 meV per atom.

The space group is Pmmm (No. 47) and the conventional cell measures 3.918, 3.936 and 7.325 Å, with angles of 90.00, 90.00 and 90.00 degrees. Symmetry generates all atoms from Al at (0.000, 0.000, 0.000), Si at (0.500, 0.000, 0.500), Te at (0.000, 0.500, 0.500) and Te at (0.500, 0.500, 0.000).


ScMnNb | PBE | optimized geometry

The distance to the lowest polymorph of the same formula comes out at 0 meV per atom. As for the energy of formation from the pure elements: 0.0252 eV per atom.

The space group is I4mm (No. 107) and the conventional cell measures 3.148, 3.148 and 10.262 Å, with angles of 90.00, 90.00 and 90.00 degrees. Symmetry generates all atoms from Sc at (0.000, 0.000, 0.000), Mn at (0.000, 0.000, 0.671) and Nb at (0.000, 0.000, 0.295).


Cs4KMn3Br12 | PBE | optimized geometry

The space group is Im-3m (No. 229) and the conventional cell measures 11.171, 11.171 and 11.171 Å, with angles of 90.00, 90.00 and 90.00 degrees. Symmetry generates all atoms from Cs at (0.250, 0.250, 0.250), K at (0.000, 0.000, 0.000), Mn at (0.000, 0.000, 0.500), Br at (0.000, 0.000, 0.277) and Br at (0.000, 0.250, 0.500).


Tb2Tm3S4 | PBE | optimized geometry

The space group is P-3m1 (No. 164) and the conventional cell measures 3.8304, 3.8304 and 15.7932 Å, with angles of 90.00, 90.00 and 120.00 degrees. Symmetry generates all atoms from Tb at (0.3333, 0.6667, 0.2065), Tm at (0.0000, 0.0000, 0.0000), Tm at (0.3333, 0.6667, 0.5883), S at (0.0000, 0.0000, 0.3102) and S at (0.3333, 0.6667, 0.9007).


MnBeMo | PBE | optimized geometry

The distance to the lowest polymorph of the same formula comes out at 197 meV per atom. As for the energy of formation from the pure elements: 0.0513 eV per atom.

The space group is P3m1 (No. 156) and the conventional cell measures 4.0221, 4.0221 and 2.5758 Å, with angles of 90.00, 90.00 and 120.00 degrees. Symmetry generates all atoms from Mn at (0.0000, 0.0000, 0.0000), Be at (0.6667, 0.3333, 0.7164) and Mo at (0.3333, 0.6667, 0.2982).


PtPb6Au | PBE | optimized geometry

The distance to the lowest polymorph of the same formula comes out at 72 meV per atom. As for the energy of formation from the pure elements: 0.0113 eV per atom.

The space group is C2/m (No. 12) and the conventional cell measures 6.743, 11.420 and 6.766 Å, with angles of 90.00, 117.27 and 90.00 degrees. Symmetry generates all atoms from Pt at (0.000, 0.000, 0.000), Pb at (0.243, 0.200, 0.245), Pb at (0.246, 0.000, 0.761) and Au at (0.000, 0.500, 0.500).


Cs5K2Pb4 | PBE | optimized geometry

As for the energy of formation from the pure elements: -0.0236 eV per atom.

The space group is C2/m (No. 12) and the conventional cell measures 17.470, 7.817 and 10.610 Å, with angles of 90.00, 111.51 and 90.00 degrees. Symmetry generates all atoms from Cs at (0.000, 0.000, 0.000), Cs at (0.107, 0.251, 0.423), K at (0.242, 0.000, 0.886), Pb at (0.098, 0.500, 0.760) and Pb at (0.237, 0.000, 0.245).


E readings, ordered: -5.21; -3.54; -8.50; -3.87; -6.10; -7.86; -3.93; -1.96 eV per atom